A geometry-optimized CuSi2P structure, computed with PBE-GGA.

Unit cell a=2.698 b=2.698 c=26.798 alpha=90.00 beta=90.00 gamma=120.00
Element x y z (fractional)
Cu 0.000 0.000 0.000
Cu 0.333 0.667 0.667
Cu 0.667 0.333 0.333
Si 0.000 0.000 0.509
Si 0.000 0.000 0.744
Si 0.333 0.667 0.176
Si 0.333 0.667 0.411
Si 0.667 0.333 0.077
Si 0.667 0.333 0.843
P 0.000 0.000 0.258
P 0.333 0.667 0.925
P 0.667 0.333 0.591

Properties
The crystal system is trigonal. For the energy relative to the elements, uncorrected, the calculation gives 38.2 kJ per mole of atoms.



A geometry-optimized SrLi4Ag structure, computed with PBE-GGA.

Unit cell a=5.778 b=5.778 c=5.778 alpha=60.00 beta=60.00 gamma=60.00
Element x y z (fractional)
Sr 0.000 0.000 0.000
Li 0.377 0.377 0.377
Li 0.377 0.377 0.868
Li 0.377 0.868 0.377
Li 0.868 0.377 0.377
Ag 0.750 0.750 0.750

Properties
The crystal system is cubic. The calculated formation energy comes out at -0.012 eV/atom. The value obtained for the excess energy over the best structure of this formula in the dataset is 70.5 meV per atom.